(1)
K2SiSb2: relaxed, PBE.

Cell lengths 7.5581, 7.5581, 5.6648 Å; angles 90.00, 90.00, 90.00 degrees
With the nearest neighbours (Å) after each atom.
Fractional positions:
Sb 0.6375 0.1375 0.0000  2 Si 2.93, 1 Sb 2.94
Sb 0.8625 0.6375 0.0000  2 Si 2.93, 1 Sb 2.94
Sb 0.1375 0.3625 0.0000  2 Si 2.93, 1 Sb 2.94
K 0.6726 0.8274 0.5000  6 Sb 3.48-3.69, 1 K 3.69
Sb 0.3625 0.8625 0.0000  2 Si 2.93, 1 Sb 2.94
K 0.1726 0.6726 0.5000  6 Sb 3.48-3.69, 1 K 3.69
K 0.8274 0.3274 0.5000  6 Sb 3.48-3.69, 1 K 3.69
K 0.3274 0.1726 0.5000  6 Sb 3.48-3.69, 1 K 3.69
Si 0.0000 0.0000 0.0000  4 Sb 2.93
Si 0.5000 0.5000 0.0000  4 Sb 2.93

- Formation energy (no corrections): -0.08 eV per atom
- Calculated total energy: -32.51 eV for the cell shown
- SG: No. 127
- Spin magnetization: 0.00 μB per atom


(2)
Y2MgPt2: relaxed, PBE.

Cell lengths 4.8035, 4.8035, 6.5075 Å; angles 68.34, 68.34, 90.00 degrees
With the nearest neighbours (Å) after each atom.
Fractional positions:
Pt 0.6156 0.6156 0.7688  1 Pt 2.57, 4 Y 2.83
Mg 0.0000 0.0000 0.0000  8 Pt 3.63, 8 Y 3.67
Pt 0.3844 0.3844 0.2312  1 Pt 2.57, 4 Y 2.83
Y 0.2500 0.7500 0.5000  4 Pt 2.83
Y 0.7500 0.2500 0.5000  4 Pt 2.83

- ΔE_f: -742 meV/atom
- Calculated total energy: -30.31 eV for the cell shown
- SG: No. 139
- Spin magnetization: 0.00 μB per atom


(3)
RbZnP3: relaxed, PBE.

Cell lengths 5.5326, 5.5326, 5.5326 Å; angles 90.00, 90.00, 90.00 degrees
With the nearest neighbours (Å) after each atom.
Fractional positions:
Rb 0.0000 0.0000 0.0000  6 P 2.77
P 0.5000 0.0000 0.0000  2 Rb 2.77
P 0.0000 0.5000 0.0000  2 Rb 2.77
P 0.0000 0.0000 0.5000  2 Rb 2.77
Zn 0.5000 0.5000 0.5000  12 P 3.91

- Excess energy over the best structure of this formula in the dataset: 150.1 kJ per mole of atoms
- ΔE_f: 2156 meV/atom
- Calculated total energy: -7.69 eV for the cell shown
- SG: No. 221
- Spin magnetization: 0.00 μB per atom